(1)
DFT (GGA-PBE) results for Cs2CdGa after structural relaxation.

abc: 10.3278 10.3278 8.2475
angles: 51.24 51.24 90.00
Sites, in units of the cell vectors:
1 Cs 0.3750 0.3853 0.7500
2 Cs 0.6147 0.1250 0.2500
3 Cs 0.1353 0.6250 0.2500
4 Cs 0.8750 0.8647 0.7500
5 Cd 0.7500 0.2500 0.5000
6 Cd 0.0000 0.0000 0.0000
7 Ga 0.2500 0.7500 0.5000
8 Ga 0.5000 0.5000 0.0000

The symmetry is I-42d, No. 122. For the total magnetization, the calculation gives 0.00 μB per formula unit. The value obtained for the calculated total energy is -8.98 eV/cell. The value obtained for the formation energy is 290 meV/atom.

(2)
DFT (GGA-PBE) results for CsCd2Ga after structural relaxation.

abc: 6.4416 6.4416 9.4247
angles: 70.02 70.02 90.00
Sites, in units of the cell vectors:
1 Cs 0.7500 0.2500 0.5000
2 Cs 0.0000 0.0000 0.0000
3 Cd 0.3750 0.6246 0.7500
4 Cd 0.8750 0.6254 0.7500
5 Cd 0.3754 0.1250 0.2500
6 Cd 0.3746 0.6250 0.2500
7 Ga 0.2500 0.7500 0.5000
8 Ga 0.5000 0.5000 0.0000

The symmetry is I4_1/amd, No. 141. For the total magnetization, the calculation gives 0.00 μB per formula unit. The value obtained for the calculated total energy is -11.16 eV/cell. The value obtained for the formation energy is 32 meV/atom.

(3)
DFT (GGA-PBE) results for CsCd2Ga after structural relaxation.

abc: 3.7568 3.7568 8.9281
angles: 90.00 90.00 90.00
Sites, in units of the cell vectors:
1 Cd 0.0000 0.0000 0.8266
2 Cd 0.0000 0.0000 0.1734
3 Ga 0.5000 0.5000 0.0000
4 Cs 0.5000 0.5000 0.5000

The symmetry is P4/mmm, No. 123. For the total magnetization, the calculation gives 0.00 μB per formula unit. The value obtained for the calculated total energy is -5.38 eV/cell. The value obtained for the formation energy is 82 meV/atom.

(4)
DFT (GGA-PBE) results for CsCdGa2 after structural relaxation.

abc: 4.6871 4.6871 7.5507
angles: 71.92 71.92 60.00
Sites, in units of the cell vectors:
1 Cs 0.5000 0.5000 0.5000
2 Cd 0.0000 0.0000 0.0000
3 Ga 0.7018 0.7018 0.8945
4 Ga 0.2982 0.2982 0.1055

The symmetry is R-3m, No. 166. For the total magnetization, the calculation gives 0.00 μB per formula unit. The value obtained for the calculated total energy is -7.90 eV/cell. The value obtained for the formation energy is -18 meV/atom.

Q: Number 3 is which compound?
A: CsCd2Ga

Q: The highest calculated total energy belongs to which entry?
A: number 3

Q: Which value of total magnetization does entry 2 give?
A: 0.00 μB per formula unit